This record from Alexandria describes a relaxed Pr4Bi2SeS crystal. The functional is GGA-PBE.

Cell: 7.641 4.415 7.672 Å, 90.00 109.43 90.00°
Element x y z (fractional)
Pr  0.235  0.000  0.223
Pr  0.252  0.500  0.773
Pr  0.748  0.500  0.227
Pr  0.765  0.000  0.777
Bi  0.000  0.000  0.500
Bi  0.500  0.500  0.500
Se  0.500  0.000  0.000
S  0.000  0.500  0.000

Values from the calculation:
**Uncorrected formation energy**: -1.4023 eV/atom
**Volume**: 30.51 Å³/atom
**Total energy**: -5.714 eV/atom